{
  "formula": "Tb3Sm2HoSe6",
  "functional": "PBE",
  "state": "relaxed",
  "cell": [[8.960, -2.049, 0.000], [8.960, 2.049, 0.000], [-1.907, 0.000, 8.049]],
  "species": ["Tb", "Tb", "Tb", "Sm", "Sm", "Ho", "Se", "Se", "Se", "Se", "Se", "Se"],
  "frac_coords": [[0.000, 0.000, 0.000], [0.330, 0.330, 0.667], [0.670, 0.670, 0.333], [0.332, 0.332, 0.164], [0.668, 0.668, 0.836], [0.000, 0.000, 0.500], [0.164, 0.164, 0.087], [0.164, 0.164, 0.577], [0.498, 0.498, 0.746], [0.502, 0.502, 0.254], [0.836, 0.836, 0.423], [0.836, 0.836, 0.913]],
  "magnetic_moment_mub_per_cell": 0.0,
  "formation_energy_uncorrected_mev_per_atom": -1779,
  "crystal_system": "monoclinic",
  "e_tot_ev_per_atom": -5.85,
  "dos_ef_per_ev_cell": 5.65
}